Entry from the Alexandria database: an optimized crystal structure of Ce2Zn12Au5 (PBE).

- raw total energy (eV/atom) = -2.558
- formation energy (eV/f.u.) = -5.1

Cell lengths 9.3164, 9.3164, 13.4646 Å; angles 90.00, 90.00, 120.00 degrees
With the nearest neighbours (Å) after each atom.
Space group R-3m (No. 166, hexagonal axes)
Symmetry-distinct sites (fractional):
Ce 0.0000 0.0000 0.1600  1 Au 3.15, 12 Zn 3.25-3.47
Zn 0.0000 0.2997 0.5000  2 Au 2.66, 6 Zn 2.79-2.81
Zn 0.0140 0.5070 0.6544  6 Zn 2.60-2.81, 2 Au 2.75
Au 0.0000 0.0000 0.3940  4 Au 2.81-2.86, 9 Zn 2.97-3.14
Au 0.0000 0.5000 0.0000  8 Zn 2.66-2.75, 2 Au 2.81

***

Entry from the Alexandria database: an optimized crystal structure of CeZnAu5 (PBE).

- raw total energy (eV/atom) = -3.653
- formation energy (eV/f.u.) = -2.0

Cell lengths 4.4932, 4.4932, 7.2502 Å; angles 90.00, 90.00, 90.00 degrees
With the nearest neighbours (Å) after each atom.
Space group P4/mmm (No. 123)
Symmetry-distinct sites (fractional):
Ce 0.0000 0.0000 0.0000  12 Au 3.11-3.18
Zn 0.0000 0.0000 0.5000  8 Au 2.69
Au 0.0000 0.5000 0.2964  2 Zn 2.69, 1 Au 2.95
Au 0.5000 0.5000 0.0000  8 Au 3.11, 4 Ce 3.18

***

Entry from the Alexandria database: an optimized crystal structure of CeZnAu11 (PBE).

- raw total energy (eV/atom) = -3.540
- formation energy (eV/f.u.) = -2.8

Cell lengths 5.5633, 13.4245, 7.2577 Å; angles 90.00, 111.10, 90.00 degrees
With the nearest neighbours (Å) after each atom.
Space group C2/m (No. 12)
Symmetry-distinct sites (fractional):
Ce 0.0000 0.0000 0.0000  18 Au 3.29-3.63
Zn 0.0000 0.5000 0.5000  10 Au 2.68-2.88
Au 0.0000 0.0000 0.5000  2 Zn 2.78, 8 Au 2.82-2.85
Au 0.0932 0.3946 0.2189  1 Zn 2.68, 6 Au 2.78-2.97
Au 0.1730 0.1706 0.3489  8 Au 2.85-3.14, 1 Zn 2.88
Au 0.2500 0.2500 0.0000  10 Au 2.78-2.97